LiZr2Rh | GGA-PBE | relaxed

Output
Total magnetization (μB/f.u.): 0.00
Electronic total energy (eV/atom): -6.8279

Structure (POSCAR):
```
LiZr2Rh
1.0
-1.6894 5.3618 -0.3463
-0.7687 2.3688 -5.0518
-1.4777 -4.2136 3.4329
Zr Rh Li
2 1 1
Direct
0.7540 0.2540 0.5000
0.0256 0.0256 0.0000
0.2499 0.7499 0.5000
0.4705 0.4705 0.0000
```

***

Nd2In | GGA-PBE | relaxed

Output
Total magnetization (μB/f.u.): 0.00
Electronic total energy (eV/atom): -4.3776

Structure (POSCAR):
```
Nd2In
1.0
-2.1126 -2.4799 -1.6776
2.3643 -2.6415 0.9274
-3.6747 1.5025 6.4083
Nd In
2 1
Direct
0.6530 0.6530 0.3060
0.3470 0.3470 0.6940
0.0000 0.0000 0.0000
```

***

CeTm3Tc | GGA-PBE | relaxed

Output
Total magnetization (μB/f.u.): 0.00
Electronic total energy (eV/atom): -6.0136

Structure (POSCAR):
```
CeTm3Tc
1.0
-1.8143 -3.0675 1.4892
-1.2435 -3.9253 -4.5916
9.3594 -7.1684 1.6461
Tm Tc Ce
6 2 2
Direct
0.7549 0.7290 0.7613
0.7937 0.0289 0.3836
0.1065 0.1651 0.6219
0.4323 0.6094 0.5259
0.4558 0.9398 0.1487
0.9865 0.1253 0.9016
0.4257 0.3875 0.7611
0.7633 0.3359 0.1374
0.1165 0.4729 0.2941
0.2254 0.5430 0.0061
```

***

Tb3MgAg | GGA-PBE | relaxed

Output
Excess energy over the best structure of this formula in the dataset (eV per atom): 0.0000
Total magnetization (μB/f.u.): 0.00

Structure (POSCAR):
```
Tb3MgAg
1.0
-4.9244 0.7007 -1.4881
-1.5143 -0.1158 4.9568
-1.2251 10.3437 -0.1326
Ag Mg Tb
2 2 6
Direct
0.6623 0.7500 0.3238
0.9861 0.2500 0.6762
0.4778 0.7500 0.6928
0.1706 0.2500 0.3072
0.8871 0.7500 0.8741
0.0748 0.7500 0.4986
0.2660 0.7500 0.1164
0.7612 0.2500 0.1259
0.5735 0.2500 0.5014
0.3824 0.2500 0.8836
```

***

La7PmPr4 | GGA-PBE | relaxed

Output
Excess energy over the best structure of this formula in the dataset (eV per atom): 0.1670
Total magnetization (μB/f.u.): 0.51

Structure (POSCAR):
```
La7PmPr4
1.0
6.1895 0.0000 0.0000
3.0948 9.2705 2.0778
3.0948 1.8978 8.1811
Pr La Pm
4 7 1
Direct
0.5748 0.2983 0.5522
0.4252 0.7017 0.4478
0.6722 0.6035 0.0521
0.3278 0.3965 0.9479
0.0806 0.5673 0.2714
0.7939 0.2155 0.1967
0.5000 0.0000 0.0000
0.7915 0.8732 0.5439
0.2061 0.7845 0.8033
0.9194 0.4327 0.7286
0.2085 0.1268 0.4561
0.0000 0.0000 0.0000
```

***

Nd5Ge2Sb2 | GGA-PBE | relaxed

Output
Total magnetization (μB/f.u.): 0.00
ΔE_f (raw) (eV/atom): -0.97

Structure (POSCAR):
```
Nd5Ge2Sb2
1.0
8.2158 0.0000 0.0000
0.0000 7.2768 -3.7407
0.0000 -0.0514 8.8480
Nd Sb Ge
10 4 4
Direct
0.1677 0.4600 0.2595
0.0000 0.0000 0.0000
0.8323 0.7994 0.2595
0.3323 0.9600 0.2595
0.1677 0.2006 0.7405
0.3323 0.7006 0.7405
0.6677 0.2994 0.2595
0.5000 0.5000 0.0000
0.8323 0.5400 0.7405
0.6677 0.0400 0.7405
0.5000 0.7052 0.4104
0.5000 0.2948 0.5896
0.0000 0.2052 0.4104
0.0000 0.7948 0.5896
0.1302 0.6305 0.0000
0.3698 0.1305 0.0000
0.6302 0.8695 0.0000
0.8698 0.3695 0.0000
```

***

Be2BiB | GGA-PBE | relaxed

Output
Excess energy over the best structure of this formula in the dataset (eV per atom): 0.0000
Total magnetization (μB/f.u.): 0.00

Structure (POSCAR):
```
Be2BiB
1.0
-3.3139 -2.4995 -0.6228
1.2088 -2.4051 3.2204
-4.5629 1.1949 5.3404
Bi Be B
2 4 2
Direct
0.0000 0.0000 0.0000
0.7500 0.2500 0.5000
0.8750 0.5849 0.7500
0.3750 0.6651 0.7500
0.4151 0.6250 0.2500
0.3349 0.1250 0.2500
0.5000 0.5000 0.0000
0.2500 0.7500 0.5000
```